Li2MnC2O6 | GGA+U | relaxed

Calculated values
Total magnetization, μB/cell: 10.0
D(E_F), states/eV/cell: 0.0
Calculated total energy, eV per atom: -7.12

Unit cell a=5.2603 b=7.6918 c=8.0996 alpha=90.00 beta=112.44 gamma=90.00
Closest atoms and distances in Å follow each position.
Space group P2_1/c (No. 14)
Symmetry-distinct sites (fractional):
Li 0.0718 0.1393 0.1606 [4 per cell]  4 O 1.95-2.13
Mn 0.5000 0.0000 0.0000 [2 per cell]  6 O 2.13-2.32
C 0.3569 0.7162 0.7082 [4 per cell]  3 O 1.29-1.31
O 0.1913 0.5951 0.6107 [4 per cell]  1 C 1.31
O 0.2677 0.6764 0.2957 [4 per cell]  1 C 1.29
O 0.3965 0.2222 0.7901 [4 per cell]  1 C 1.29